1.
Density functional theory data (PBE) for crystalline NiSe at its relaxed geometry.

Computed properties:
As for the crystal system: trigonal. As for the final energy: -4.90 eV per atom.

Geometry as CIF:
```
data_NiSe
_symmetry_space_group_name_H-M 'P 1'
_symmetry_Int_Tables_number 1
_symmetry_space_group_name_Hall 'P 1'
_cell_length_a 3.744
_cell_length_b 3.744
_cell_length_c 6.618
_cell_angle_alpha 90.00
_cell_angle_beta 90.00
_cell_angle_gamma 120.00
loop_
_atom_site_label
_atom_site_type_symbol
_atom_site_fract_x
_atom_site_fract_y
_atom_site_fract_z
Ni1 Ni 0.000 0.000 0.014
Ni2 Ni 0.667 0.333 0.236
Se1 Se 0.000 0.000 0.369
Se2 Se 0.667 0.333 0.881
```

---

2.
Density functional theory data (PBE) for crystalline LiEr3Sc3S8 at its relaxed geometry.

Computed properties:
As for the crystal system: trigonal. As for the final energy: -6.43 eV per atom.

Geometry as CIF:
```
data_LiEr3Sc3S8
_symmetry_space_group_name_H-M 'P 1'
_symmetry_Int_Tables_number 1
_symmetry_space_group_name_Hall 'P 1'
_cell_length_a 7.502
_cell_length_b 7.502
_cell_length_c 7.524
_cell_angle_alpha 119.90
_cell_angle_beta 90.00
_cell_angle_gamma 120.00
loop_
_atom_site_label
_atom_site_type_symbol
_atom_site_fract_x
_atom_site_fract_y
_atom_site_fract_z
Li1 Li 0.000 0.000 0.500
Er1 Er 0.000 0.000 0.000
Er2 Er 0.000 0.500 0.000
Er3 Er 0.500 0.500 0.000
Sc1 Sc 0.500 0.000 0.500
Sc2 Sc 0.500 0.500 0.500
Sc3 Sc 0.000 0.500 0.500
S1 S 0.254 0.508 0.262
S2 S 0.746 0.492 0.738
S3 S 0.752 0.505 0.261
S4 S 0.248 0.495 0.739
S5 S 0.752 0.008 0.261
S6 S 0.248 0.992 0.739
S7 S 0.256 0.008 0.261
S8 S 0.744 0.992 0.739
```

---

- Number 1 is which compound?
  NiSe

---

Repeat the second record exactly.
Density functional theory data (PBE) for crystalline LiEr3Sc3S8 at its relaxed geometry.

Computed properties:
As for the crystal system: trigonal. As for the final energy: -6.43 eV per atom.

Geometry as CIF:
```
data_LiEr3Sc3S8
_symmetry_space_group_name_H-M 'P 1'
_symmetry_Int_Tables_number 1
_symmetry_space_group_name_Hall 'P 1'
_cell_length_a 7.502
_cell_length_b 7.502
_cell_length_c 7.524
_cell_angle_alpha 119.90
_cell_angle_beta 90.00
_cell_angle_gamma 120.00
loop_
_atom_site_label
_atom_site_type_symbol
_atom_site_fract_x
_atom_site_fract_y
_atom_site_fract_z
Li1 Li 0.000 0.000 0.500
Er1 Er 0.000 0.000 0.000
Er2 Er 0.000 0.500 0.000
Er3 Er 0.500 0.500 0.000
Sc1 Sc 0.500 0.000 0.500
Sc2 Sc 0.500 0.500 0.500
Sc3 Sc 0.000 0.500 0.500
S1 S 0.254 0.508 0.262
S2 S 0.746 0.492 0.738
S3 S 0.752 0.505 0.261
S4 S 0.248 0.495 0.739
S5 S 0.752 0.008 0.261
S6 S 0.248 0.992 0.739
S7 S 0.256 0.008 0.261
S8 S 0.744 0.992 0.739
```

---

- The lowest final energy belongs to which entry?
  LiEr3Sc3S8

---

- The highest final energy belongs to which entry?
  NiSe